The following is a DFT calculation (PBE) of a geometry-optimized Na3ZnCd structure.

Formation energy (eV per atom): 0.308
DOS(E_F) (states/eV per cell): 2.737
Energy (eV/atom): -0.921
Relative energy among the computed polymorphs (meV/atom): 267
Calculated volume (Å³/atom): 39.557

Lattice parameters (Å, degrees): 5.826 5.826 5.826 90.00 90.00 90.00
Space group Pm-3m (No. 221)
Unique sites:
1 Na 0.000 0.000 0.500
2 Zn 0.500 0.500 0.500
3 Cd 0.000 0.000 0.000

=====

The following is a DFT calculation (PBE) of a geometry-optimized RbAs2OsSe structure.

DOS(E_F) (states/eV per cell): 12.011
Energy (eV/atom): -2.199
Formation energy (no corrections) (meV per atom): 2797
Relative energy among the computed polymorphs (meV/atom): 2631
Calculated volume (Å³/atom): 30.074

Lattice parameters (Å, degrees): 5.278 5.278 5.398 90.00 90.00 90.00
Space group P4/mmm (No. 123)
Unique sites:
1 Rb 0.000 0.000 0.000
2 As 0.000 0.500 0.000
3 Os 0.500 0.500 0.500
4 Se 0.000 0.000 0.500

=====

The following is a DFT calculation (PBE) of a geometry-optimized Ca2TaRe structure.

Formation energy (eV per atom): 0.239
DOS(E_F) (states/eV per cell): 2.920
Energy (eV/atom): -6.837
Relative energy among the computed polymorphs (meV/atom): 0
Calculated volume (Å³/atom): 25.830

Lattice parameters (Å, degrees): 3.397 3.397 8.954 90.00 90.00 90.00
Space group P4mm (No. 99)
Unique sites:
1 Ca 0.000 0.000 0.000
2 Ca 0.500 0.500 0.368
3 Ta 0.500 0.500 0.729
4 Re 0.000 0.000 0.606

=====

The following is a DFT calculation (PBE) of a geometry-optimized NaDy4PaS8 structure.

DOS(E_F) (states/eV per cell): 30.059
Energy (eV/atom): -6.267
Formation energy (no corrections) (meV per atom): -1821
Calculated volume (Å³/atom): 26.885

Lattice parameters (Å, degrees): 8.0820 8.0820 19.9615 90.00 90.00 120.00
Space group R3m (No. 160, hexagonal axes)
Unique sites:
1 Na 0.0000 0.0000 0.0000
2 Dy 0.0000 0.0000 0.2539
3 Dy 0.1715 0.3430 0.4593
4 Pa 0.0000 0.0000 0.6290
5 S 0.0000 0.0000 0.3856
6 S 0.0000 0.0000 0.8655
7 S 0.0301 0.5151 0.3795
8 S 0.1762 0.3524 0.2066